VASP calculation (PBE-GGA) on a geometry-optimized AlIr3Au2 structure.

The structure in POSCAR format:
```
AlIr3Au2
1.0
4.4374 0.0000 0.0000
-2.2187 3.8429 0.0000
0.0000 0.0000 5.4576
Al Ir Au
1 3 2
Direct
0.0000 0.0000 0.0000
0.0000 0.0000 0.5000
0.3333 0.6667 0.8565
0.6667 0.3333 0.1435
0.3333 0.6667 0.3475
0.6667 0.3333 0.6525
```

The electronic total energy is -6.004 eV/atom. As for the space group: P-3m1, No. 164. The total moment is 0.0 μB/cell.